(1)
{"formula": "Mn2CrRu2", "functional": "PBE-GGA", "state": "relaxed", "lattice": [[6.944, 0.000, 0.000], [0.000, 6.944, 0.000], [0.000, 0.000, 2.687]], "species": ["Mn", "Mn", "Mn", "Mn", "Cr", "Cr", "Ru", "Ru", "Ru", "Ru"], "frac_coords": [[0.120, 0.380, 0.000], [0.380, 0.880, 0.000], [0.620, 0.120, 0.000], [0.880, 0.620, 0.000], [0.000, 0.000, 0.000], [0.500, 0.500, 0.000], [0.176, 0.676, 0.500], [0.324, 0.176, 0.500], [0.676, 0.824, 0.500], [0.824, 0.324, 0.500]], "ef_kj_per_mol_atoms": 25.21, "rho_g_cm3": 9.33, "energy_ev_per_atom": -9.042, "e_above_lowest_polymorph_mev_per_atom": 0}



(2)
{"formula": "BeSb2W", "functional": "PBE-GGA", "state": "relaxed", "lattice": [[3.090, 0.000, 0.000], [0.000, 3.358, 0.000], [0.000, 0.000, 8.126]], "species": ["Be", "Sb", "Sb", "W"], "frac_coords": [[0.000, 0.000, 0.000], [0.000, 0.000, 0.670], [0.500, 0.500, 0.243], [0.500, 0.500, 0.892]], "formation_energy_uncorrected_ev_per_atom": 0.3793, "rho_g_cm3": 8.60, "energy_ev_per_atom": -5.852}